[1]
GGA-PBE CaSmCuPt, optimized geometry; DFT formation energy = -0.602 eV/atom; ΔE to the lowest computed polymorph = 0.062 eV/atom; volume = 22.04 A^3/atom
1.0
0.000 3.532 3.532
3.532 0.000 3.532
3.532 3.532 0.000
Ca Sm Cu Pt
1 1 1 1
Direct
0.000 0.000 0.000
0.500 0.500 0.500
0.750 0.750 0.750
0.250 0.250 0.250

---

[2]
GGA-PBE CaSmCuPt, optimized geometry; DFT formation energy = -0.664 eV/atom; ΔE to the lowest computed polymorph = 0.000 eV/atom; volume = 23.49 A^3/atom
1.0
4.304 0.000 0.000
0.000 2.000 5.460
0.000 -2.000 5.460
Ca Sm Cu Pt
1 1 1 1
Direct
0.000 0.000 0.000
0.500 0.279 0.279
0.500 0.573 0.573
0.000 0.719 0.719

---

[3]
GGA-PBE Ca2Cu3Sn4Pt, optimized geometry; DFT formation energy = -0.395 eV/atom; volume = 22.09 A^3/atom
1.0
4.554 0.000 0.000
0.000 4.554 0.000
0.000 0.000 10.649
Ca Cu Sn Pt
2 3 4 1
Direct
0.000 0.500 0.237
0.500 0.000 0.763
0.000 0.000 0.000
0.000 0.500 0.632
0.500 0.000 0.368
0.000 0.000 0.500
0.000 0.500 0.870
0.500 0.000 0.130
0.500 0.500 0.500
0.500 0.500 0.000

---

[4]
GGA-PBE CaTaCu2Pt, optimized geometry; DFT formation energy = 1.064 eV/atom; volume = 22.91 A^3/atom
1.0
4.781 0.000 0.000
0.000 4.781 0.000
0.000 0.000 5.013
Ca Ta Cu Pt
1 1 2 1
Direct
0.000 0.000 0.000
0.500 0.500 0.000
0.000 0.500 0.500
0.500 0.000 0.500
0.000 0.000 0.500